Entry 1:
First-principles (PBE) data for CeGa2Au3 after structural relaxation, as listed in Alexandria.

Calculated total energy   -3.97 eV/atom
Volume   139 Å³/f.u.
Space group   Pmmn, No. 59
Density of states at the Fermi level   16.8 states/eV/cell

Cell: 3.917 5.173 13.684 Å, 90.00 90.00 90.00°
Each line ends with the local moment (μB).
Atoms (fractional coordinates):
1 Ce 0.755 0.500 0.500  0.97
2 Ce 0.245 0.000 0.000  0.97
3 Ga 0.244 0.000 0.689  0.00
4 Ga 0.244 0.000 0.311  0.00
5 Ga 0.756 0.500 0.189  0.00
6 Ga 0.756 0.500 0.811  0.00
7 Au 0.255 0.500 0.676  0.01
8 Au 0.252 0.000 0.500  0.01
9 Au 0.255 0.500 0.324  0.01
10 Au 0.745 0.000 0.176  0.01
11 Au 0.748 0.500 0.000  0.01
12 Au 0.745 0.000 0.824  0.01


Entry 2:
First-principles (PBE) data for Ce3Ga2Au after structural relaxation, as listed in Alexandria.

Calculated total energy   -5.04 eV/atom
Volume   138 Å³/f.u.
Space group   P4/mmm, No. 123
Density of states at the Fermi level   9.1 states/eV/cell

Cell: 3.273 3.273 12.882 Å, 90.00 90.00 90.00°
Each line ends with the local moment (μB).
Atoms (fractional coordinates):
1 Ce 0.000 0.000 0.000  0.22
2 Ce 0.000 0.000 0.669  -0.08
3 Ce 0.000 0.000 0.331  -0.08
4 Ga 0.500 0.500 0.834  0.00
5 Ga 0.500 0.500 0.166  0.00
6 Au 0.500 0.500 0.500  0.00


Entry 3:
First-principles (PBE) data for CeGa3Au after structural relaxation, as listed in Alexandria.

Calculated total energy   -4.13 eV/atom
Polymorph energy (0 for the lowest one)   82 meV/atom
Volume   102 Å³/f.u.
Space group   Pnma, No. 62
Density of states at the Fermi level   24.9 states/eV/cell

Cell: 4.414 8.397 11.022 Å, 90.00 90.00 90.00°
Each line ends with the local moment (μB).
Atoms (fractional coordinates):
1 Ce 0.750 0.799 0.012  0.59
2 Ce 0.250 0.701 0.512  0.59
3 Ce 0.750 0.299 0.488  0.59
4 Ce 0.250 0.201 0.988  0.59
5 Ga 0.250 0.579 0.102  0.00
6 Ga 0.750 0.421 0.898  0.00
7 Ga 0.250 0.079 0.398  0.00
8 Ga 0.750 0.921 0.602  0.00
9 Ga 0.250 0.394 0.671  0.00
10 Ga 0.750 0.106 0.171  0.00
11 Ga 0.250 0.894 0.829  0.00
12 Ga 0.750 0.612 0.696  -0.01
13 Ga 0.250 0.388 0.304  -0.01
14 Ga 0.750 0.112 0.804  -0.01
15 Ga 0.750 0.606 0.329  0.00
16 Ga 0.250 0.888 0.196  -0.01
17 Au 0.250 0.089 0.647  0.00
18 Au 0.250 0.589 0.853  0.00
19 Au 0.750 0.411 0.147  0.00
20 Au 0.750 0.911 0.353  0.00


Entry 4:
First-principles (PBE) data for CeGaAu after structural relaxation, as listed in Alexandria.

Calculated total energy   -4.75 eV/atom
Volume   67 Å³/f.u.
Space group   Immm, No. 71
Density of states at the Fermi level   11.2 states/eV/cell

Cell: 4.633 5.853 5.853 Å, 86.33 66.69 66.69°
Each line ends with the local moment (μB).
Atoms (fractional coordinates):
1 Ce 0.733 0.767 0.767  0.62
2 Ce 0.267 0.233 0.233  0.62
3 Ga 0.500 0.659 0.341  -0.01
4 Ga 0.500 0.341 0.659  -0.01
5 Au 0.000 0.820 0.180  -0.01
6 Au 0.000 0.180 0.820  -0.01


Entry 5:
First-principles (PBE) data for Ce6GaAu5 after structural relaxation, as listed in Alexandria.

Calculated total energy   -5.15 eV/atom
Volume   301 Å³/f.u.
Space group   Immm, No. 71
Density of states at the Fermi level   40.9 states/eV/cell

Cell: 5.146 7.536 8.997 Å, 114.76 106.62 90.00°
Each line ends with the local moment (μB).
Atoms (fractional coordinates):
1 Au 0.657 0.157 0.313  0.00
2 Au 0.335 0.335 0.670  -0.01
3 Au 0.000 0.500 0.000  0.00
4 Au 0.665 0.665 0.330  -0.01
5 Au 0.343 0.843 0.687  0.00
6 Ga 0.000 0.000 0.000  -0.01
7 Ce 0.830 0.580 0.660  0.86
8 Ce 0.830 0.080 0.660  0.86
9 Ce 0.500 0.746 0.000  0.74
10 Ce 0.500 0.254 0.000  0.74
11 Ce 0.170 0.920 0.340  0.86
12 Ce 0.170 0.420 0.340  0.86


Entry 6:
First-principles (PBE) data for CeGa3Au9 after structural relaxation, as listed in Alexandria.

Calculated total energy   -3.70 eV/atom
Volume   247 Å³/f.u.
Space group   C2/m, No. 12
Density of states at the Fermi level   10.5 states/eV/cell

Cell: 5.473 6.910 7.363 Å, 83.61 68.18 72.58°
Each line ends with the local moment (μB).
Atoms (fractional coordinates):
1 Ce 0.000 0.000 0.000  0.89
2 Ga 0.500 0.500 0.000  0.00
3 Ga 0.000 0.000 0.500  0.00
4 Ga 0.500 0.000 0.500  0.00
5 Au 0.683 0.786 0.786  0.00
6 Au 0.317 0.214 0.214  0.00
7 Au 0.531 0.214 0.786  0.00
8 Au 0.469 0.786 0.214  0.00
9 Au 0.694 0.332 0.355  0.00
10 Au 0.306 0.668 0.645  0.00
11 Au 0.950 0.668 0.355  0.00
12 Au 0.050 0.332 0.645  0.00
13 Au 0.000 0.500 0.000  0.00


Entry 7:
First-principles (PBE) data for Ce2GaAu after structural relaxation, as listed in Alexandria.

Calculated total energy   -4.58 eV/atom
Volume   91 Å³/f.u.
Space group   R-3m, No. 166
Density of states at the Fermi level   7.6 states/eV/cell

Cell: 3.057 3.057 11.402 Å, 82.30 82.30 60.00°
Each line ends with the local moment (μB).
Atoms (fractional coordinates):
1 Au 0.000 0.000 0.000  0.01
2 Ga 0.500 0.500 0.500  -0.01
3 Ce 0.090 0.090 0.731  0.25
4 Ce 0.910 0.910 0.269  0.25


Entry 8:
First-principles (PBE) data for Ce2Ga3Au9 after structural relaxation, as listed in Alexandria.

Calculated total energy   -4.06 eV/atom
Volume   278 Å³/f.u.
Space group   C2/c, No. 15
Density of states at the Fermi level   32.6 states/eV/cell

Cell: 8.143 8.143 10.792 Å, 89.89 112.05 120.33°
Each line ends with the local moment (μB).
Atoms (fractional coordinates):
1 Ce 0.337 0.249 0.754  0.74
2 Ce 0.663 0.751 0.246  0.74
3 Ce 0.995 0.583 0.746  0.74
4 Ce 0.005 0.417 0.254  0.74
5 Ga 0.500 0.000 0.000  0.00
6 Ga 0.500 0.500 0.500  0.00
7 Ga 0.871 0.192 0.507  0.00
8 Ga 0.129 0.808 0.493  0.00
9 Ga 0.184 0.364 0.993  0.00
10 Ga 0.816 0.636 0.007  0.00
11 Au 0.439 0.928 0.738  0.00
12 Au 0.561 0.072 0.262  0.00
13 Au 0.690 0.701 0.762  0.00
14 Au 0.310 0.299 0.238  0.00
15 Au 0.445 0.647 0.912  0.00
16 Au 0.555 0.353 0.088  0.00
17 Au 0.234 0.532 0.588  0.00
18 Au 0.766 0.468 0.412  0.00
19 Au 0.888 0.138 0.750  0.00
20 Au 0.112 0.862 0.250  0.00
21 Au 0.131 0.983 0.931  0.00
22 Au 0.869 0.017 0.069  0.00
23 Au 0.552 0.200 0.569  0.00
24 Au 0.448 0.800 0.431  0.00
25 Au 0.880 0.860 0.574  0.00
26 Au 0.120 0.140 0.426  0.00
27 Au 0.787 0.307 0.926  0.00
28 Au 0.213 0.693 0.074  0.00


> Which of these has the highest volume?

Ce6GaAu5


Repeat the fifth record exactly.
First-principles (PBE) data for Ce6GaAu5 after structural relaxation, as listed in Alexandria.

Calculated total energy   -5.15 eV/atom
Volume   301 Å³/f.u.
Space group   Immm, No. 71
Density of states at the Fermi level   40.9 states/eV/cell

Cell: 5.146 7.536 8.997 Å, 114.76 106.62 90.00°
Each line ends with the local moment (μB).
Atoms (fractional coordinates):
1 Au 0.657 0.157 0.313  0.00
2 Au 0.335 0.335 0.670  -0.01
3 Au 0.000 0.500 0.000  0.00
4 Au 0.665 0.665 0.330  -0.01
5 Au 0.343 0.843 0.687  0.00
6 Ga 0.000 0.000 0.000  -0.01
7 Ce 0.830 0.580 0.660  0.86
8 Ce 0.830 0.080 0.660  0.86
9 Ce 0.500 0.746 0.000  0.74
10 Ce 0.500 0.254 0.000  0.74
11 Ce 0.170 0.920 0.340  0.86
12 Ce 0.170 0.420 0.340  0.86


> Which of these has the lowest calculated total energy?

Ce6GaAu5